! GGA-PBE PrInAg2S4, optimized geometry; values from VASP
! - crystal system = monoclinic
! - volume (Å³/cell) = 357.4
! - theoretical density (g cm⁻³) = 5.57
! - total DFT energy (no corrections) (eV per cell) = -71.6
&SYSTEM
  ibrav = 0, nat = 16, ntyp = 4
/
ATOMIC_SPECIES
Pr 140.91 Pr.upf
In 114.82 In.upf
Ag 107.87 Ag.upf
S 32.06 S.upf
ATOMIC_POSITIONS angstrom
Pr 2.868 2.723 0.000
Pr 0.293 -2.723 2.861
In 0.000 0.000 0.000
In -2.575 0.000 2.861
Ag 0.293 2.723 2.861
Ag 2.868 -2.723 0.000
Ag 5.735 0.000 0.000
Ag 3.160 0.000 2.861
S 0.046 0.110 2.631
S -2.529 -0.110 5.491
S 3.164 2.561 2.849
S 5.732 2.561 0.012
S 0.589 -2.561 5.710
S 3.157 -2.561 2.872
S 8.849 0.110 0.230
S 6.275 -0.110 3.091
CELL_PARAMETERS angstrom
5.735 -5.446 0.000
5.735 5.446 0.000
-5.150 0.000 5.721